## Ta2HgAs2 (PBE-GGA)

Data for a relaxed Ta2HgAs2 crystal.

a = 7.4234 Å, b = 7.4234 Å, c = 3.3602 Å
α = 90.00°, β = 90.00°, γ = 90.00°
With the nearest neighbours (Å) after each atom.
Fractional positions:
As 0.6467 0.8533 0.5000  6 Ta 2.72-2.79
As 0.8533 0.3533 0.5000  6 Ta 2.72-2.79
As 0.3533 0.1467 0.5000  6 Ta 2.72-2.79
As 0.1467 0.6467 0.5000  6 Ta 2.72-2.79
Ta 0.1406 0.3594 0.0000  6 As 2.72-2.79, 2 Hg 2.86, 1 Ta 2.95
Ta 0.6406 0.1406 0.0000  6 As 2.72-2.79, 2 Hg 2.86, 1 Ta 2.95
Ta 0.3594 0.8594 0.0000  6 As 2.72-2.79, 2 Hg 2.86, 1 Ta 2.95
Ta 0.8594 0.6406 0.0000  6 As 2.72-2.79, 2 Hg 2.86, 1 Ta 2.95
Hg 0.5000 0.5000 0.0000  4 Ta 2.86
Hg 0.0000 0.0000 0.0000  4 Ta 2.86

Results
formation enthalpy at 0 K	-0.1594	eV/atom
spin magnetization	0.00	μB per formula unit
space group	P4/mbm, No. 127
uncorrected energy	-68.21	eV for the cell shown